A relaxed Ba3NiIr2O9 crystal, computed with PBE+U.

E: -190.9 eV/cell

Cell lengths 5.8228, 5.8228, 14.3513 Å; angles 90.00, 90.00, 120.00 degrees
Space group P6_3/mmc (No. 194)
Inequivalent atoms, fractional coordinates:
Ba: 0.0000 0.0000 0.2500 (multiplicity 2)
Ba: 0.3333 0.6667 0.0835 (multiplicity 4)
Ni: 0.0000 0.0000 0.0000 (multiplicity 2)
Ir: 0.3333 0.6667 0.6598 (multiplicity 4)
O: 0.0211 0.5105 0.7500 (multiplicity 6)
O: 0.1719 0.3438 0.5828 (multiplicity 12)